No. 1
A relaxed structure of Sc2ReCl. Source: Alexandria via LeMat-Bulk, functional PBEsol.

Structure (CIF):
```
data_Sc2ReCl
_chemical_formula_sum 'Sc4 Re2 Cl2'
_space_group_name_H-M_alt 'C 1 2/m 1'
_space_group_IT_number 12
_cell_length_a 4.813
_cell_length_b 4.295
_cell_length_c 7.578
_cell_angle_alpha 90.00
_cell_angle_beta 102.77
_cell_angle_gamma 90.00
loop_
_space_group_symop_operation_xyz
'x,y,z'
'-x,-y,-z'
'-x,y,-z'
'x,-y,z'
'x+1/2,y+1/2,z'
'-x+1/2,-y+1/2,-z'
'-x+1/2,y+1/2,-z'
'x+1/2,-y+1/2,z'
loop_
_atom_site_label
_atom_site_type_symbol
_atom_site_fract_x
_atom_site_fract_y
_atom_site_fract_z
_atom_site_occupancy
Sc1 Sc 0.077 0.000 0.210 1
Re1 Re 0.000 0.500 0.000 1
Cl1 Cl 0.000 0.500 0.500 1
```

- ΔE_f (raw) (eV/atom) = -0.681
- E_tot (eV per atom) = -7.819
- N(E_F) (states/eV/cell) = 3.588



No. 2
A relaxed structure of Sc4ReCl. Source: Alexandria via LeMat-Bulk, functional PBEsol.

Structure (CIF):
```
data_Sc4ReCl
_chemical_formula_sum 'Sc16 Re4 Cl4'
_space_group_name_H-M_alt 'F -4 3 m'
_space_group_IT_number 216
_space_group_name_Hall 'F -4 2 3'
_cell_length_a 7.852
_cell_length_b 7.852
_cell_length_c 7.852
_cell_angle_alpha 90.00
_cell_angle_beta 90.00
_cell_angle_gamma 90.00
loop_
_atom_site_label
_atom_site_type_symbol
_atom_site_fract_x
_atom_site_fract_y
_atom_site_fract_z
_atom_site_occupancy
Sc1 Sc 0.121 0.121 0.121 1
Re1 Re 0.250 0.250 0.750 1
Cl1 Cl 0.000 0.000 0.500 1
```

- ΔE_f (raw) (eV/atom) = 0.704
- E_tot (eV per atom) = -6.256
- N(E_F) (states/eV/cell) = 31.239



No. 3
A relaxed structure of ScReCl2. Source: Alexandria via LeMat-Bulk, functional PBEsol.

Structure (CIF):
```
data_ScReCl2
_chemical_formula_sum 'Sc3 Re3 Cl6'
_space_group_name_H-M_alt 'R -3 m'
_space_group_IT_number 166
_space_group_name_Hall '-R 3 2"'
_cell_length_a 2.9946
_cell_length_b 2.9946
_cell_length_c 25.0690
_cell_angle_alpha 90.00
_cell_angle_beta 90.00
_cell_angle_gamma 120.00
loop_
_atom_site_label
_atom_site_type_symbol
_atom_site_fract_x
_atom_site_fract_y
_atom_site_fract_z
_atom_site_occupancy
Sc1 Sc 0.0000 0.0000 0.0000 1
Re1 Re 0.0000 0.0000 0.5000 1
Cl1 Cl 0.0000 0.0000 0.4069 1
```

- ΔE_f (raw) (eV/atom) = -0.353
- E_tot (eV per atom) = -6.341
- N(E_F) (states/eV/cell) = 7.593



No. 4
A relaxed structure of Sc2ReCl. Source: Alexandria via LeMat-Bulk, functional PBEsol.

Structure (CIF):
```
data_Sc2ReCl
_chemical_formula_sum 'Sc4 Re2 Cl2'
_space_group_name_H-M_alt 'C m m 2'
_space_group_IT_number 35
_cell_length_a 3.339
_cell_length_b 4.877
_cell_length_c 9.735
_cell_angle_alpha 90.00
_cell_angle_beta 90.00
_cell_angle_gamma 90.00
loop_
_space_group_symop_operation_xyz
'x,y,z'
'-x,-y,z'
'-x,y,z'
'x,-y,z'
'x+1/2,y+1/2,z'
'-x+1/2,-y+1/2,z'
'-x+1/2,y+1/2,z'
'x+1/2,-y+1/2,z'
loop_
_atom_site_label
_atom_site_type_symbol
_atom_site_fract_x
_atom_site_fract_y
_atom_site_fract_z
_atom_site_occupancy
Sc1 Sc 0.000 0.000 0.000 1
Sc2 Sc 0.000 0.500 0.276 1
Re1 Re 0.000 0.500 0.795 1
Cl1 Cl 0.000 0.000 0.461 1
```

- ΔE_f (raw) (eV/atom) = 0.010
- E_tot (eV per atom) = -7.128
- N(E_F) (states/eV/cell) = 8.992



No. 5
A relaxed structure of Sc2ReCl. Source: Alexandria via LeMat-Bulk, functional PBEsol.

Structure (CIF):
```
data_Sc2ReCl
_chemical_formula_sum 'Sc4 Re2 Cl2'
_space_group_name_H-M_alt 'I m m 2'
_space_group_IT_number 44
_cell_length_a 3.117
_cell_length_b 3.395
_cell_length_c 14.570
_cell_angle_alpha 90.00
_cell_angle_beta 90.00
_cell_angle_gamma 90.00
loop_
_space_group_symop_operation_xyz
'x,y,z'
'-x,-y,z'
'-x,y,z'
'x,-y,z'
'x+1/2,y+1/2,z+1/2'
'-x+1/2,-y+1/2,z+1/2'
'-x+1/2,y+1/2,z+1/2'
'x+1/2,-y+1/2,z+1/2'
loop_
_atom_site_label
_atom_site_type_symbol
_atom_site_fract_x
_atom_site_fract_y
_atom_site_fract_z
_atom_site_occupancy
Sc1 Sc 0.000 0.000 0.000 1
Sc2 Sc 0.000 0.500 0.275 1
Re1 Re 0.000 0.000 0.406 1
Cl1 Cl 0.000 0.500 0.659 1
```

- ΔE_f (raw) (eV/atom) = -0.423
- E_tot (eV per atom) = -7.560
- N(E_F) (states/eV/cell) = 5.011



No. 6
A relaxed structure of Sc2ReCl. Source: Alexandria via LeMat-Bulk, functional PBEsol.

Structure (CIF):
```
data_Sc2ReCl
_chemical_formula_sum 'Sc6 Re3 Cl3'
_space_group_name_H-M_alt 'R 3 m'
_space_group_IT_number 160
_space_group_name_Hall 'R 3 -2"'
_cell_length_a 3.0697
_cell_length_b 3.0697
_cell_length_c 29.1184
_cell_angle_alpha 90.00
_cell_angle_beta 90.00
_cell_angle_gamma 120.00
loop_
_atom_site_label
_atom_site_type_symbol
_atom_site_fract_x
_atom_site_fract_y
_atom_site_fract_z
_atom_site_occupancy
Sc1 Sc 0.0000 0.0000 0.0000 1
Sc2 Sc 0.0000 0.0000 0.2368 1
Re1 Re 0.0000 0.0000 0.5006 1
Cl1 Cl 0.0000 0.0000 0.7272 1
```

- ΔE_f (raw) (eV/atom) = -0.011
- E_tot (eV per atom) = -7.148
- N(E_F) (states/eV/cell) = 13.148



No. 7
A relaxed structure of ScRe2Cl. Source: Alexandria via LeMat-Bulk, functional PBEsol.

Structure (CIF):
```
data_ScRe2Cl
_chemical_formula_sum 'Sc2 Re4 Cl2'
_space_group_name_H-M_alt 'C 1 2/m 1'
_space_group_IT_number 12
_cell_length_a 5.154
_cell_length_b 10.389
_cell_length_c 3.040
_cell_angle_alpha 90.00
_cell_angle_beta 126.03
_cell_angle_gamma 90.00
loop_
_space_group_symop_operation_xyz
'x,y,z'
'-x,-y,-z'
'-x,y,-z'
'x,-y,z'
'x+1/2,y+1/2,z'
'-x+1/2,-y+1/2,-z'
'-x+1/2,y+1/2,-z'
'x+1/2,-y+1/2,z'
loop_
_atom_site_label
_atom_site_type_symbol
_atom_site_fract_x
_atom_site_fract_y
_atom_site_fract_z
_atom_site_occupancy
Sc1 Sc 0.000 0.000 0.000 1
Re1 Re 0.250 0.250 0.000 1
Cl1 Cl 0.000 0.500 0.000 1
```

- ΔE_f (raw) (eV/atom) = 0.220
- E_tot (eV per atom) = -8.599
- N(E_F) (states/eV/cell) = 5.304



No. 8
A relaxed structure of ScReCl2. Source: Alexandria via LeMat-Bulk, functional PBEsol.

Structure (CIF):
```
data_ScReCl2
_chemical_formula_sum 'Sc2 Re2 Cl4'
_space_group_name_H-M_alt 'C 1 2/m 1'
_space_group_IT_number 12
_cell_length_a 5.828
_cell_length_b 8.334
_cell_length_c 3.395
_cell_angle_alpha 90.00
_cell_angle_beta 123.95
_cell_angle_gamma 90.00
loop_
_space_group_symop_operation_xyz
'x,y,z'
'-x,-y,-z'
'-x,y,-z'
'x,-y,z'
'x+1/2,y+1/2,z'
'-x+1/2,-y+1/2,-z'
'-x+1/2,y+1/2,-z'
'x+1/2,-y+1/2,z'
loop_
_atom_site_label
_atom_site_type_symbol
_atom_site_fract_x
_atom_site_fract_y
_atom_site_fract_z
_atom_site_occupancy
Sc1 Sc 0.000 0.000 0.000 1
Re1 Re 0.000 0.500 0.000 1
Cl1 Cl 0.250 0.250 0.000 1
```

- ΔE_f (raw) (eV/atom) = -0.027
- E_tot (eV per atom) = -6.016
- N(E_F) (states/eV/cell) = 6.792